Computed, not measured: a geometry-optimized KTe2W structure at the PBE level of DFT.

```
4
Lattice="4.486 0.000 0.000 0.000 2.217 7.331 0.000 -2.217 7.331" Properties=species:S:1:pos:R:3 pbc="T T T"
K 0.000 0.000 0.000
Te 0.000 0.000 4.560
Te 2.243 0.000 9.103
W 2.243 0.000 3.198
```

## Properties
- Space group: Amm2, No. 38
- Relative energy among the computed polymorphs: 0.1864 eV/atom

Computed, not measured: a geometry-optimized In2TcP structure at the PBE level of DFT.

```
4
Lattice="3.559 0.000 0.000 0.000 3.559 0.000 0.000 0.000 5.710" Properties=species:S:1:pos:R:3 pbc="T T T"
In 0.000 0.000 1.420
In 0.000 0.000 4.289
Tc 1.780 1.780 0.000
P 1.780 1.780 2.855
```

## Properties
- Space group: P4/mmm, No. 123
- Energy of formation from the pure elements: 0.36 eV/atom

Computed, not measured: a geometry-optimized Ca2TlOs structure at the PBE level of DFT.

```
4
Lattice="2.988 -1.690 0.000 2.988 1.690 0.000 -1.780 0.000 9.903" Properties=species:S:1:pos:R:3 pbc="T T T"
Ca 1.030 0.000 2.092
Ca 3.166 0.000 7.811
Tl -0.890 0.000 4.952
Os 2.988 0.000 0.000
```

## Properties
- Space group: C2/m, No. 12
- Energy of formation from the pure elements: 0.37 eV/atom
- Relative energy among the computed polymorphs: 0.1453 eV/atom

Computed, not measured: a geometry-optimized PuCo4Pt structure at the PBE level of DFT.

```
6
Lattice="0.000 3.464 3.464 3.464 0.000 3.464 3.464 3.464 0.000" Properties=species:S:1:pos:R:3 pbc="T T T"
Pu 0.000 0.000 0.000
Co 2.603 2.603 2.603
Co 4.326 4.326 2.603
Co 4.326 2.603 4.326
Co 2.603 4.326 4.326
Pt 5.196 5.196 5.196
```

## Properties
- Space group: F-43m, No. 216
- Energy of formation from the pure elements: -0.20 eV/atom

Computed, not measured: a geometry-optimized Mn3VSn structure at the PBE level of DFT.

```
5
Lattice="4.436 0.000 0.000 0.000 4.436 0.000 0.000 0.000 4.436" Properties=species:S:1:pos:R:3 pbc="T T T"
Mn 0.000 0.000 2.218
Mn 0.000 2.218 0.000
Mn 2.218 0.000 0.000
V 0.000 0.000 0.000
Sn 2.218 2.218 2.218
```

## Properties
- Space group: Pm-3m, No. 221
- Energy of formation from the pure elements: 0.80 eV/atom

Computed, not measured: a geometry-optimized Sm4Ho15Al structure at the PBE level of DFT.

```
20
Lattice="4.947 0.000 0.000 0.000 4.947 0.000 0.000 0.000 25.021" Properties=species:S:1:pos:R:3 pbc="T T T"
Sm 0.000 0.000 2.546
Sm 0.000 0.000 7.613
Sm 0.000 0.000 17.408
Sm 0.000 0.000 22.476
Ho 0.000 2.474 0.000
Ho 0.000 2.474 5.092
Ho 0.000 2.474 10.189
Ho 0.000 2.474 14.833
Ho 0.000 2.474 19.930
Ho 2.474 0.000 0.000
Ho 2.474 0.000 5.092
Ho 2.474 0.000 10.189
Ho 2.474 0.000 14.833
Ho 2.474 0.000 19.930
Ho 2.474 2.474 2.557
Ho 2.474 2.474 7.681
Ho 2.474 2.474 12.511
Ho 2.474 2.474 17.341
Ho 2.474 2.474 22.464
Al 0.000 0.000 12.511
```

## Properties
- Space group: P4/mmm, No. 123
- Energy of formation from the pure elements: -0.01 eV/atom

What is the formula in the second record? In2TcP

Please write out number 6 again, unchanged.
Computed, not measured: a geometry-optimized Sm4Ho15Al structure at the PBE level of DFT.

```
20
Lattice="4.947 0.000 0.000 0.000 4.947 0.000 0.000 0.000 25.021" Properties=species:S:1:pos:R:3 pbc="T T T"
Sm 0.000 0.000 2.546
Sm 0.000 0.000 7.613
Sm 0.000 0.000 17.408
Sm 0.000 0.000 22.476
Ho 0.000 2.474 0.000
Ho 0.000 2.474 5.092
Ho 0.000 2.474 10.189
Ho 0.000 2.474 14.833
Ho 0.000 2.474 19.930
Ho 2.474 0.000 0.000
Ho 2.474 0.000 5.092
Ho 2.474 0.000 10.189
Ho 2.474 0.000 14.833
Ho 2.474 0.000 19.930
Ho 2.474 2.474 2.557
Ho 2.474 2.474 7.681
Ho 2.474 2.474 12.511
Ho 2.474 2.474 17.341
Ho 2.474 2.474 22.464
Al 0.000 0.000 12.511
```

## Properties
- Space group: P4/mmm, No. 123
- Energy of formation from the pure elements: -0.01 eV/atom